First-principles (PBE with a Hubbard U) data for a relaxed KV2O4 crystal, as listed in Alexandria.

The volume comes out at 13.18 Å³/atom. The total DFT energy (no corrections) comes out at -194.54 eV/cell. The value obtained for the total magnetic moment is 12.00 Bohr magnetons per cell.

The space group is C2/c (No. 15) and the conventional cell measures 9.061, 8.493 and 6.365 Å, with angles of 90.00, 131.14 and 90.00 degrees. Symmetry generates all atoms from K at (0.000, 0.107, 0.250), V at (0.000, 0.500, 0.000), V at (0.250, 0.250, 0.000), O at (0.003, 0.276, 0.954) and O at (0.187, 0.487, 0.922).